The following is a DFT calculation (PBE) of a geometry-optimized BC2 structure.

Results
ρ: 1.99 g/cm³
Distance to the lowest polymorph of the same formula: 424 meV per atom
Energy relative to the elements: 64.0 kJ/mol of atoms

abc: 2.4494 3.1563 3.9442
angles: 90.00 107.99 90.00
Last column: nearest neighbours and their distance in Å.
Space group P2/m (No. 10)
One atom of each set of equivalent atoms:
1 B 0.0000 0.0000 0.0000  2 C 1.51
2 C 0.2003 0.0000 0.4020  2 C 1.42-1.43, 1 B 1.51

---

The following is a DFT calculation (PBE) of a geometry-optimized La3Tb4Al4 structure.

Results
ρ: 6.02 g/cm³
Energy relative to the elements: -19.7 kJ/mol of atoms

abc: 5.1744 7.2633 17.0307
angles: 90.00 90.00 90.00
Last column: nearest neighbours and their distance in Å.
Space group Immm (No. 71)
One atom of each set of equivalent atoms:
1 La 0.0000 0.0000 0.0000  6 Al 3.18-3.45
2 La 0.0000 0.5000 0.1077  4 Al 3.45, 4 Tb 3.48, 1 La 3.67
3 Tb 0.0000 0.2750 0.3229  4 Al 3.06-3.08, 1 Tb 3.27
4 Al 0.0000 0.0000 0.1869  6 Tb 3.06, 1 La 3.18
5 Al 0.0000 0.1864 0.5000  1 Al 2.71

---

The following is a DFT calculation (PBE) of a geometry-optimized Np2P3Pd2 structure.

Results
ρ: 9.99 g/cm³
Energy relative to the elements: -67.3 kJ/mol of atoms

abc: 14.4839 3.9233 11.1095
angles: 90.00 124.79 90.00
Last column: nearest neighbours and their distance in Å.
Space group C2/m (No. 12)
One atom of each set of equivalent atoms:
1 Np 0.1065 0.0000 0.4555  7 P 2.78-2.99
2 Np 0.2310 0.0000 0.8296  6 P 2.76-2.87
3 P 0.0756 0.5000 0.6247  1 P 2.36, 1 Pd 2.43
4 P 0.1280 0.0000 0.9787  4 Pd 2.43-2.50
5 P 0.1656 0.5000 0.3202  3 Pd 2.47-2.56
6 Pd 0.0492 0.5000 0.8221  4 P 2.43-2.56
7 Pd 0.0812 0.0000 0.1570  4 P 2.43-2.50

---

The following is a DFT calculation (PBE) of a geometry-optimized Ti3AgP structure.

Results
ρ: 5.01 g/cm³
Distance to the lowest polymorph of the same formula: 0 meV per atom
Energy relative to the elements: -15.3 kJ/mol of atoms

abc: 4.5417 4.5417 4.5417
angles: 90.00 90.00 90.00
Last column: nearest neighbours and their distance in Å.
Space group Pm-3m (No. 221)
One atom of each set of equivalent atoms:
1 Ti 0.0000 0.0000 0.5000  2 P 2.27
2 Ag 0.5000 0.5000 0.5000  12 Ti 3.21
3 P 0.0000 0.0000 0.0000  6 Ti 2.27

---

The following is a DFT calculation (PBE) of a geometry-optimized ZrReAuSe2 structure.

Results
ρ: 8.48 g/cm³
Total energy: -4.992 eV/atom

abc: 4.9425 4.9425 5.0707
angles: 90.00 90.00 90.00
Last column: nearest neighbours and their distance in Å.
Space group P4/mmm (No. 123)
One atom of each set of equivalent atoms:
1 Zr 0.0000 0.0000 0.0000  4 Re 3.49, 8 Se 3.54
2 Re 0.5000 0.5000 0.0000  2 Au 2.54
3 Au 0.5000 0.5000 0.5000  4 Se 2.47, 2 Re 2.54
4 Se 0.0000 0.5000 0.5000  2 Au 2.47

---

The following is a DFT calculation (PBE) of a geometry-optimized LaAlAs2O8 structure.

Results
ρ: 4.44 g/cm³
Total energy: -6.892 eV/atom

abc: 5.3316 5.3316 6.7358
angles: 90.00 90.00 120.00
Last column: nearest neighbours and their distance in Å.
Space group P-3m1 (No. 164)
One atom of each set of equivalent atoms:
1 La 0.0000 0.0000 0.0000  6 O 2.58
2 Al 0.0000 0.0000 0.5000  6 O 1.89
3 As 0.3333 0.6667 0.2450  4 O 1.70-1.71
4 O 0.1561 0.3122 0.3177  1 As 1.71, 1 Al 1.89
5 O 0.3333 0.6667 0.9929  1 As 1.70

---

Number 1: V 9.67 Å³/atom. Number 2: V 29.09 Å³/atom. Number 3: V 18.52 Å³/atom. Number 4: V 18.74 Å³/atom. Number 5: V 24.77 Å³/atom. Number 6: V 13.82 Å³/atom.